(1)
Below is Cr2RePb after structural relaxation, with properties calculated at the GGA-PBEsol level.

Computed properties:
Total magnetic moment: 0.00 μB/cell
Space-group type: Pmmm (47)
DFT formation energy: 564 meV/atom

Unit cell a=2.9214 b=3.7958 c=5.6029 alpha=90.00 beta=90.00 gamma=90.00
Sites, in units of the cell vectors:
Cr  0.0000  0.0000  0.6861
Cr  0.0000  0.0000  0.3139
Pb  0.5000  0.5000  0.0000
Re  0.5000  0.5000  0.5000

=====

(2)
Below is Tl2AgTe2 after structural relaxation, with properties calculated at the GGA-PBEsol level.

Computed properties:
Total magnetic moment: 0.00 μB/cell
Energy: -2.91 eV/atom
Space-group type: I4/mmm (139)

Unit cell a=4.2876 b=4.2876 c=8.4824 alpha=104.64 beta=104.64 gamma=90.00
Sites, in units of the cell vectors:
Tl  0.2500  0.7500  0.5000
Tl  0.7500  0.2500  0.5000
Te  0.4096  0.4096  0.8192
Te  0.5904  0.5904  0.1808
Ag  0.0000  0.0000  0.0000

=====

(3)
Below is Pd7Se4 after structural relaxation, with properties calculated at the GGA-PBEsol level.

Computed properties:
Total magnetic moment: 0.00 μB/cell
Energy: -5.48 eV/atom
Space-group type: P2_12_12 (18)

Unit cell a=5.3937 b=6.8492 c=10.0503 alpha=90.00 beta=90.00 gamma=90.00
Sites, in units of the cell vectors:
Pd  0.3513  0.1886  0.5827
Pd  0.3513  0.8114  0.4173
Pd  0.6487  0.3114  0.0827
Pd  0.6487  0.6886  0.9173
Pd  0.0068  0.0853  0.7736
Pd  0.0068  0.9147  0.2264
Pd  0.9932  0.4147  0.2736
Pd  0.9932  0.5853  0.7264
Pd  0.3369  0.3709  0.8676
Pd  0.3369  0.6291  0.1324
Pd  0.6631  0.1291  0.3676
Pd  0.6631  0.8709  0.6324
Pd  0.6776  0.5000  0.5000
Pd  0.3224  0.0000  0.0000
Se  0.6830  0.3229  0.7212
Se  0.6830  0.6771  0.2788
Se  0.3170  0.1771  0.2212
Se  0.3170  0.8229  0.7788
Se  0.1688  0.5000  0.5000
Se  0.8312  0.0000  0.0000
Se  0.9992  0.0000  0.5000
Se  0.0008  0.5000  0.0000

=====

(4)
Below is Ca3YH after structural relaxation, with properties calculated at the GGA-PBEsol level.

Computed properties:
Total magnetic moment: 0.02 μB/cell
Energy: -3.32 eV/atom
Space-group type: Pm-3m (221)

Unit cell a=5.2017 b=5.2017 c=5.2017 alpha=90.00 beta=90.00 gamma=90.00
Sites, in units of the cell vectors:
Y  0.5000  0.5000  0.5000
H  0.0000  0.0000  0.0000
Ca  0.0000  0.5000  0.0000
Ca  0.0000  0.0000  0.5000
Ca  0.5000  0.0000  0.0000

=====

(5)
Below is Sc2Ge2Rh after structural relaxation, with properties calculated at the GGA-PBEsol level.

Computed properties:
Total magnetic moment: 0.00 μB/cell
Space-group type: P4/mbm (127)
DFT formation energy: -970 meV/atom

Unit cell a=4.0975 b=6.4353 c=6.4353 alpha=90.00 beta=90.00 gamma=90.00
Sites, in units of the cell vectors:
Sc  0.5000  0.1709  0.6709
Sc  0.5000  0.6709  0.8291
Sc  0.5000  0.8291  0.3291
Sc  0.5000  0.3291  0.1709
Ge  0.0000  0.3621  0.8621
Ge  0.0000  0.8621  0.6379
Ge  0.0000  0.6379  0.1379
Ge  0.0000  0.1379  0.3621
Rh  0.0000  0.0000  0.0000
Rh  0.0000  0.5000  0.5000

=====

(6)
Below is KSbNF2 after structural relaxation, with properties calculated at the GGA-PBEsol level.

Computed properties:
Total magnetic moment: 0.00 μB/cell
Energy: -4.91 eV/atom
Space-group type: P4/mmm (123)

Unit cell a=4.0126 b=4.5460 c=4.5460 alpha=90.00 beta=90.00 gamma=90.00
Sites, in units of the cell vectors:
Sb  0.0000  0.0000  0.0000
K  0.5000  0.5000  0.5000
N  0.5000  0.0000  0.0000
F  0.0000  0.0000  0.5000
F  0.0000  0.5000  0.0000

=====

(7)
Below is BeZnSn2Se after structural relaxation, with properties calculated at the GGA-PBEsol level.

Computed properties:
Total magnetic moment: 0.00 μB/cell
Energy: -3.24 eV/atom
Space-group type: P4/mmm (123)

Unit cell a=4.4411 b=4.9826 c=4.9826 alpha=90.00 beta=90.00 gamma=90.00
Sites, in units of the cell vectors:
Be  0.0000  0.0000  0.0000
Zn  0.5000  0.5000  0.5000
Sn  0.0000  0.0000  0.5000
Sn  0.0000  0.5000  0.0000
Se  0.5000  0.0000  0.0000

=====

(8)
Below is AlSbPb3 after structural relaxation, with properties calculated at the GGA-PBEsol level.

Computed properties:
Total magnetic moment: 0.00 μB/cell
Energy: -3.72 eV/atom
Space-group type: Pm-3m (221)

Unit cell a=5.3415 b=5.3415 c=5.3415 alpha=90.00 beta=90.00 gamma=90.00
Sites, in units of the cell vectors:
Pb  0.0000  0.5000  0.0000
Pb  0.0000  0.0000  0.5000
Pb  0.5000  0.0000  0.0000
Sb  0.5000  0.5000  0.5000
Al  0.0000  0.0000  0.0000

=====

(9)
Below is ZnP2Rh after structural relaxation, with properties calculated at the GGA-PBEsol level.

Computed properties:
Total magnetic moment: 0.00 μB/cell
Space-group type: F-43m (216)
DFT formation energy: 242 meV/atom

Unit cell a=4.2611 b=4.2611 c=4.2611 alpha=60.00 beta=60.00 gamma=60.00
Sites, in units of the cell vectors:
P  0.0000  0.0000  0.0000
P  0.2500  0.2500  0.2500
Rh  0.5000  0.5000  0.5000
Zn  0.7500  0.7500  0.7500

=====

(10)
Below is AsSe2Cl after structural relaxation, with properties calculated at the GGA-PBEsol level.

Computed properties:
Total magnetic moment: 0.00 μB/cell
E above lowest polymorph: 0.459 eV/atom
Space-group type: P4/mmm (123)

Unit cell a=3.4425 b=4.7084 c=4.7084 alpha=90.00 beta=90.00 gamma=90.00
Sites, in units of the cell vectors:
As  0.5000  0.5000  0.5000
Se  0.0000  0.0000  0.5000
Se  0.0000  0.5000  0.0000
Cl  0.5000  0.0000  0.0000

=====

(11)
Below is CoSe2O5 after structural relaxation, with properties calculated at the GGA-PBEsol level.

Computed properties:
Total magnetic moment: 12.00 μB/cell
Energy: -5.93 eV/atom
Space-group type: Pbcn (60)

Unit cell a=5.9345 b=6.8381 c=10.2220 alpha=90.00 beta=90.00 gamma=90.00
Sites, in units of the cell vectors:
Co  0.7500  0.0000  0.0598
Co  0.2500  0.5000  0.4402
Co  0.2500  0.0000  0.9402
Co  0.7500  0.5000  0.5598
Se  0.4740  0.6346  0.1539
Se  0.9740  0.8654  0.3461
Se  0.5260  0.1346  0.3461
Se  0.0260  0.3654  0.1539
Se  0.9740  0.6346  0.8461
Se  0.4740  0.8654  0.6539
Se  0.0260  0.1346  0.6539
Se  0.5260  0.3654  0.8461
O  0.7500  0.0000  0.4367
O  0.2500  0.5000  0.0633
O  0.2500  0.0000  0.5633
O  0.7500  0.5000  0.9367
O  0.0513  0.1503  0.0666
O  0.5513  0.3497  0.4334
O  0.9487  0.6503  0.4334
O  0.4487  0.8497  0.0666
O  0.9487  0.8497  0.9334
O  0.4487  0.6503  0.5666
O  0.0513  0.3497  0.5666
O  0.5513  0.1503  0.9334
O  0.6658  0.1938  0.2058
O  0.1658  0.3062  0.2942
O  0.3342  0.6938  0.2942
O  0.8342  0.8062  0.2058
O  0.3342  0.8062  0.7942
O  0.8342  0.6938  0.7058
O  0.6658  0.3062  0.7058
O  0.1658  0.1938  0.7942

=====

(12)
Below is La4MgIr after structural relaxation, with properties calculated at the GGA-PBEsol level.

Computed properties:
Total magnetic moment: 0.00 μB/cell
E above lowest polymorph: 0.930 eV/atom
Space-group type: F-43m (216)
DFT formation energy: 579 meV/atom

Unit cell a=6.1676 b=6.1676 c=6.1676 alpha=60.00 beta=60.00 gamma=60.00
Sites, in units of the cell vectors:
Ir  0.0000  0.0000  0.0000
La  0.3730  0.3730  0.3730
La  0.3730  0.3730  0.8810
La  0.8810  0.3730  0.3730
La  0.3730  0.8810  0.3730
Mg  0.7500  0.7500  0.7500

=====

(13)
Below is HfFeCo3 after structural relaxation, with properties calculated at the GGA-PBEsol level.

Computed properties:
Total magnetic moment: 5.50 μB/cell
Space-group type: Pm-3m (221)
DFT formation energy: 1673 meV/atom

Unit cell a=4.3723 b=4.3723 c=4.3723 alpha=90.00 beta=90.00 gamma=90.00
Sites, in units of the cell vectors:
Co  0.0000  0.5000  0.0000
Co  0.0000  0.0000  0.5000
Co  0.5000  0.0000  0.0000
Hf  0.0000  0.0000  0.0000
Fe  0.5000  0.5000  0.5000

=====

(14)
Below is KZrCuF7 after structural relaxation, with properties calculated at the GGA-PBEsol level.

Computed properties:
Total magnetic moment: 3.95 μB/cell
Energy: -5.74 eV/atom
Space-group type: Cmcm (63)

Unit cell a=7.6140 b=7.6140 c=9.9956 alpha=90.00 beta=90.00 gamma=113.76
Sites, in units of the cell vectors:
K  0.6384  0.8348  0.2500
K  0.1652  0.3616  0.2500
K  0.8348  0.6384  0.7500
K  0.3616  0.1652  0.7500
Zr  0.1336  0.8664  0.4318
Zr  0.1336  0.8664  0.0682
Zr  0.8664  0.1336  0.9318
Zr  0.8664  0.1336  0.5682
Cu  0.6357  0.3643  0.0712
Cu  0.3643  0.6357  0.5712
Cu  0.3643  0.6357  0.9288
Cu  0.6357  0.3643  0.4288
F  0.6422  0.8950  0.5126
F  0.3578  0.1050  0.4874
F  0.7786  0.2214  0.3837
F  0.2214  0.7786  0.6163
F  0.0259  0.9741  0.6141
F  0.3578  0.1050  0.0126
F  0.8950  0.6422  0.0126
F  0.9958  0.7236  0.2500
F  0.1050  0.3578  0.5126
F  0.2950  0.7050  0.3899
F  0.5786  0.4214  0.2500
F  0.7050  0.2950  0.6101
F  0.7050  0.2950  0.8899
F  0.9741  0.0259  0.3859
F  0.1050  0.3578  0.9874
F  0.2214  0.7786  0.8837
F  0.4214  0.5786  0.7500
F  0.8950  0.6422  0.4874
F  0.7236  0.9958  0.7500
F  0.0259  0.9741  0.8859
F  0.9741  0.0259  0.1141
F  0.2950  0.7050  0.1101
F  0.6422  0.8950  0.9874
F  0.7786  0.2214  0.1163
F  0.5000  0.5000  0.5000
F  0.0042  0.2764  0.7500
F  0.2764  0.0042  0.2500
F  0.5000  0.5000  0.0000

=====

(15)
Below is Zr4Pd2O after structural relaxation, with properties calculated at the GGA-PBEsol level.

Computed properties:
Total magnetic moment: 0.00 μB/cell
Energy: -8.86 eV/atom
Space-group type: Fd-3m (227)

Unit cell a=8.7569 b=8.7569 c=8.7569 alpha=60.00 beta=60.00 gamma=60.00
Sites, in units of the cell vectors:
Zr  0.1811  0.8189  0.1811
Zr  0.0689  0.4311  0.0689
Zr  0.8189  0.1811  0.8189
Zr  0.1811  0.8189  0.8189
Zr  0.8189  0.1811  0.1811
Zr  0.6250  0.6250  0.6250
Zr  0.0689  0.0689  0.4311
Zr  0.8189  0.8189  0.1811
Zr  0.6250  0.6250  0.1250
Zr  0.6250  0.1250  0.6250
Zr  0.1811  0.1811  0.8189
Zr  0.1250  0.6250  0.6250
Zr  0.4311  0.4311  0.0689
Zr  0.0689  0.4311  0.4311
Zr  0.4311  0.0689  0.0689
Zr  0.4311  0.0689  0.4311
Pd  0.4105  0.4105  0.4105
Pd  0.7684  0.4105  0.4105
Pd  0.4105  0.7684  0.4105
Pd  0.8395  0.8395  0.4816
Pd  0.4816  0.8395  0.8395
Pd  0.8395  0.8395  0.8395
Pd  0.8395  0.4816  0.8395
Pd  0.4105  0.4105  0.7684
O  0.6250  0.1250  0.1250
O  0.1250  0.1250  0.1250
O  0.1250  0.6250  0.1250
O  0.1250  0.1250  0.6250

=====

(16)
Below is SiAgIr3 after structural relaxation, with properties calculated at the GGA-PBEsol level.

Computed properties:
Total magnetic moment: 0.00 μB/cell
Energy: -6.86 eV/atom
Space-group type: Pm-3m (221)

Unit cell a=4.3824 b=4.3824 c=4.3824 alpha=90.00 beta=90.00 gamma=90.00
Sites, in units of the cell vectors:
Si  0.0000  0.0000  0.0000
Ir  0.0000  0.5000  0.0000
Ir  0.0000  0.0000  0.5000
Ir  0.5000  0.0000  0.0000
Ag  0.5000  0.5000  0.5000

=====

(17)
Below is Ca2TaSe after structural relaxation, with properties calculated at the GGA-PBEsol level.

Computed properties:
Total magnetic moment: 0.00 μB/cell
Energy: -5.37 eV/atom
Space-group type: P4/mmm (123)

Unit cell a=3.3917 b=3.3917 c=8.1128 alpha=90.00 beta=90.00 gamma=90.00
Sites, in units of the cell vectors:
Ca  0.0000  0.0000  0.7865
Ca  0.0000  0.0000  0.2135
Se  0.5000  0.5000  0.0000
Ta  0.5000  0.5000  0.5000

=====

(18)
Below is ScTlIr after structural relaxation, with properties calculated at the GGA-PBEsol level.

Computed properties:
Total magnetic moment: 0.00 μB/cell
Space-group type: I4mm (107)
DFT formation energy: -357 meV/atom

Unit cell a=3.1087 b=3.1087 c=6.2513 alpha=104.40 beta=104.40 gamma=90.00
Sites, in units of the cell vectors:
Ir  0.0116  0.0116  0.0231
Sc  0.6443  0.6443  0.2887
Tl  0.3441  0.3441  0.6882

=====

(19)
Below is Na3ZnSi after structural relaxation, with properties calculated at the GGA-PBEsol level.

Computed properties:
Total magnetic moment: 1.04 μB/cell
E above lowest polymorph: 0.000 eV/atom
Space-group type: Pm-3m (221)

Unit cell a=5.5699 b=5.5699 c=5.5699 alpha=90.00 beta=90.00 gamma=90.00
Sites, in units of the cell vectors:
Na  0.0000  0.5000  0.0000
Na  0.0000  0.0000  0.5000
Na  0.5000  0.0000  0.0000
Zn  0.5000  0.5000  0.5000
Si  0.0000  0.0000  0.0000

=====

(20)
Below is Rb2Bi2Rh after structural relaxation, with properties calculated at the GGA-PBEsol level.

Computed properties:
Total magnetic moment: 0.90 μB/cell
Space-group type: I4/mmm (139)
DFT formation energy: 650 meV/atom

Unit cell a=4.3142 b=4.3142 c=11.0435 alpha=101.26 beta=101.26 gamma=90.00
Sites, in units of the cell vectors:
Rh  0.0000  0.0000  0.0000
Bi  0.2500  0.7500  0.5000
Bi  0.7500  0.2500  0.5000
Rb  0.4090  0.4090  0.8180
Rb  0.5910  0.5910  0.1820